The following is a GGA-PBE calculation of a relaxed MnFe3H4 crystal, from Alexandria via LeMat-Bulk.

It has space group Cmmm (No. 65), with a = 5.1747 Å, b = 7.3372 Å, c = 2.5854 Å, α = 90.00°, β = 90.00° and γ = 90.00°. The distinct sites, in fractional coordinates, are Mn at (0.0000, 0.0000, 0.0000), Fe at (0.0000, 0.5000, 0.0000), Fe at (0.2500, 0.2500, 0.5000), H at (0.0000, 0.2508, 0.0000) and H at (0.2488, 0.5000, 0.5000).

The magnetization is 0.01 μB/cell. Its final energy is -95.3 eV/cell.